(1)
Sm5Ni2Pd | Alexandria | PBE | optimized geometry; DOS(E_F) = 16.60 states/eV/cell; formation energy = -0.3715 eV per atom; calculated density = 8.2 g/cm³
1.0
0.198 3.128 -7.012
3.692 -6.189 -2.656
-7.796 -1.339 3.388
Sm Ni Pd
10 4 2
Direct
0.526 0.696 0.723
0.804 0.974 0.277
0.000 0.000 0.000
0.500 0.500 0.000
0.196 0.026 0.723
0.696 0.196 0.723
0.026 0.526 0.723
0.304 0.804 0.277
0.974 0.474 0.277
0.474 0.304 0.277
0.124 0.376 0.000
0.624 0.124 0.000
0.376 0.876 0.000
0.876 0.624 0.000
0.750 0.750 0.500
0.250 0.250 0.500

---

(2)
Sm3NiPd3 | Alexandria | PBE | optimized geometry; DOS(E_F) = 3.97 states/eV/cell; formation energy = -0.7009 eV per atom; calculated density = 8.8 g/cm³
1.0
4.300 0.000 -0.938
-0.191 3.773 -0.876
-0.161 0.225 9.584
Sm Ni Pd
3 1 3
Direct
0.319 0.819 0.637
0.685 0.185 0.369
0.997 0.997 0.995
0.428 0.428 0.857
0.154 0.654 0.309
0.854 0.354 0.707
0.563 0.563 0.125

---

(3)
Sm6NiPd2 | Alexandria | PBE | optimized geometry; DOS(E_F) = 18.79 states/eV/cell; formation energy = -0.4162 eV per atom; calculated density = 7.8 g/cm³
1.0
6.675 0.000 -0.011
0.000 7.355 0.000
0.318 0.000 10.233
Sm Ni Pd
12 2 4
Direct
0.150 0.035 0.246
0.174 0.324 0.569
0.167 0.318 0.935
0.333 0.818 0.565
0.326 0.824 0.931
0.350 0.535 0.254
0.850 0.965 0.754
0.826 0.676 0.431
0.833 0.682 0.065
0.667 0.182 0.435
0.674 0.176 0.069
0.650 0.465 0.746
0.500 0.500 0.000
0.000 0.000 0.500
0.061 0.615 0.760
0.439 0.115 0.740
0.561 0.885 0.260
0.939 0.385 0.240

---

(4)
Sm4NiPd | Alexandria | PBE | optimized geometry; DOS(E_F) = 12.56 states/eV/cell; formation energy = -0.3059 eV per atom; calculated density = 7.5 g/cm³; offset from the most stable computed form = 38 meV per atom
1.0
6.952 0.000 -0.152
0.000 7.055 0.000
-0.254 0.000 6.925
Sm Ni Pd
8 2 2
Direct
0.859 0.661 0.174
0.641 0.161 0.826
0.318 0.332 0.336
0.182 0.832 0.664
0.141 0.339 0.826
0.359 0.839 0.174
0.682 0.668 0.664
0.818 0.168 0.336
0.500 0.000 0.500
0.000 0.500 0.500
0.000 0.000 0.000
0.500 0.500 0.000

---

Question: What is the formula in the second record?
Answer: Sm3NiPd3

---

Question: formation energy of number 4 (Sm4NiPd)?
Answer: -0.3059 eV per atom

---

Question: DOS(E_F) of number 1 (Sm5Ni2Pd)?
Answer: 16.60 states/eV/cell

---

Question: The lowest formation energy belongs to which entry?
Answer: Sm3NiPd3